Entry 1:
Pu2CuAs4Pt3 (PBE, optimized geometry); crystal system = tetragonal
1.0
4.405 0.000 0.000
0.000 4.405 0.000
0.000 0.000 9.950
Pt As Cu Pu
3 4 1 2
Cartesian
0.000 0.000 4.975 Pt
0.000 2.202 1.226 Pt
2.202 0.000 8.724 Pt
2.202 2.202 0.000 As
0.000 0.000 0.000 As
0.000 2.202 3.674 As
2.202 0.000 6.275 As
2.202 2.202 4.975 Cu
2.202 0.000 2.484 Pu
0.000 2.202 7.465 Pu

=====

Entry 2:
CuAs2PtRh (PBE, optimized geometry); crystal system = tetragonal
1.0
4.750 0.000 0.000
0.000 4.673 0.000
0.000 0.000 4.750
Cu Rh As Pt
1 1 2 1
Cartesian
0.000 2.336 0.000 Cu
2.375 2.336 2.375 Rh
2.375 0.000 0.000 As
0.000 0.000 2.375 As
0.000 0.000 0.000 Pt

=====

| no. | total DFT energy (no corrections) (eV/atom) | DFT formation energy (meV/atom) |
| --- | --- | --- |
| 1 | -7.5414 | -593 |
| 2 | -4.5326 | 825 |